A relaxed NdDyTl2Cd2 crystal, computed with PBE.

Cell: 4.9196 4.9196 7.5892 Å, 90.00 90.00 120.00°
With the nearest neighbours (Å) after each atom.
Fractional positions:
Dy 0.0000 0.0000 0.3393  6 Cd 3.23-3.57, 6 Tl 3.24-3.58
Cd 0.3333 0.6667 0.0542  4 Tl 2.91-3.25
Cd 0.6667 0.3333 0.5431  4 Tl 2.91-3.10, 3 Dy 3.23
Tl 0.3333 0.6667 0.6264  4 Cd 2.91-3.25
Nd 0.0000 0.0000 0.8387  6 Tl 3.27-3.62, 6 Cd 3.28-3.62
Tl 0.6667 0.3333 0.1352  4 Cd 2.91-3.10, 3 Dy 3.24

## Properties
E   -2.99 eV per atom